(1)
# BeZn2Cr | the Alexandria database | PBE | optimized geometry
# Crystal system = orthorhombic
data_BeZn2Cr
_space_group_name_H-M_alt 'P m m 2'
_space_group_IT_number 25
_cell_length_a 2.5771
_cell_length_b 3.4873
_cell_length_c 5.4452
_cell_angle_alpha 90.00
_cell_angle_beta 90.00
_cell_angle_gamma 90.00
loop_
_space_group_symop_operation_xyz
'x,y,z'
'-x,-y,z'
'-x,y,z'
'x,-y,z'
loop_
_atom_site_label
_atom_site_fract_x
_atom_site_fract_y
_atom_site_fract_z
_atom_site_occupancy
Be1 0.0000 0.0000 0.0000 1
Zn1 0.0000 0.0000 0.4590 1
Zn2 0.5000 0.5000 0.7374 1
Cr1 0.5000 0.5000 0.2029 1

=====

(2)
# Be2ZnCr | the Alexandria database | PBE | optimized geometry
# Crystal system = tetragonal
data_Be2ZnCr
_space_group_name_H-M_alt 'I -4 m 2'
_space_group_IT_number 119
_space_group_name_Hall 'I -4 -2'
_cell_length_a 3.3959
_cell_length_b 3.3959
_cell_length_c 7.5675
_cell_angle_alpha 90.00
_cell_angle_beta 90.00
_cell_angle_gamma 90.00
loop_
_atom_site_label
_atom_site_fract_x
_atom_site_fract_y
_atom_site_fract_z
_atom_site_occupancy
Be1 0.0000 0.0000 0.0000 1
Be2 0.0000 0.5000 0.2500 1
Zn1 0.0000 0.0000 0.5000 1
Cr1 0.0000 0.5000 0.7500 1

=====

(3)
# Be2ZnCr | the Alexandria database | PBE | optimized geometry
# Crystal system = tetragonal
data_Be2ZnCr
_space_group_name_H-M_alt 'P 4 m m'
_space_group_IT_number 99
_cell_length_a 2.4400
_cell_length_b 2.4400
_cell_length_c 7.0237
_cell_angle_alpha 90.00
_cell_angle_beta 90.00
_cell_angle_gamma 90.00
loop_
_space_group_symop_operation_xyz
'x,y,z'
'-y,x,z'
'-x,-y,z'
'y,-x,z'
'-x,y,z'
'y,x,z'
'x,-y,z'
'-y,-x,z'
loop_
_atom_site_label
_atom_site_fract_x
_atom_site_fract_y
_atom_site_fract_z
_atom_site_occupancy
Be1 0.0000 0.0000 0.0000 1
Be2 0.5000 0.5000 0.2009 1
Zn1 0.5000 0.5000 0.7430 1
Cr1 0.0000 0.0000 0.4474 1

=====

(4)
# BeZnCr2 | the Alexandria database | PBE | optimized geometry
# Polymorph energy (0 for the lowest one) = 11.96 kcal/mol of atoms
# Crystal system = tetragonal
data_BeZnCr2
_space_group_name_H-M_alt 'I -4 2 d'
_space_group_IT_number 122
_space_group_name_Hall 'I -4 2bw'
_cell_length_a 3.3286
_cell_length_b 3.3286
_cell_length_c 17.6939
_cell_angle_alpha 90.00
_cell_angle_beta 90.00
_cell_angle_gamma 90.00
loop_
_atom_site_label
_atom_site_fract_x
_atom_site_fract_y
_atom_site_fract_z
_atom_site_occupancy
Be1 0.0000 0.0000 0.0000 1
Zn1 0.0000 0.0000 0.5000 1
Cr1 0.2296 0.2500 0.1250 1

=====

(5)
# BeZnCr2 | the Alexandria database | PBE | optimized geometry
# Polymorph energy (0 for the lowest one) = 1.18 kcal/mol of atoms
# Crystal system = tetragonal
data_BeZnCr2
_space_group_name_H-M_alt 'I 4/m m m'
_space_group_IT_number 139
_space_group_name_Hall '-I 4 2'
_cell_length_a 3.3824
_cell_length_b 3.3824
_cell_length_c 7.8942
_cell_angle_alpha 90.00
_cell_angle_beta 90.00
_cell_angle_gamma 90.00
loop_
_atom_site_label
_atom_site_fract_x
_atom_site_fract_y
_atom_site_fract_z
_atom_site_occupancy
Be1 0.0000 0.0000 0.0000 1
Zn1 0.0000 0.0000 0.5000 1
Cr1 0.0000 0.5000 0.2500 1

=====

(6)
# BeZnCr4 | the Alexandria database | PBE | optimized geometry
# Crystal system = cubic
data_BeZnCr4
_space_group_name_H-M_alt 'F -4 3 m'
_space_group_IT_number 216
_space_group_name_Hall 'F -4 2 3'
_cell_length_a 6.6621
_cell_length_b 6.6621
_cell_length_c 6.6621
_cell_angle_alpha 90.00
_cell_angle_beta 90.00
_cell_angle_gamma 90.00
loop_
_atom_site_label
_atom_site_fract_x
_atom_site_fract_y
_atom_site_fract_z
_atom_site_occupancy
Be1 0.0000 0.0000 0.0000 1
Zn1 0.2500 0.2500 0.7500 1
Cr1 0.1253 0.1253 0.3747 1

=====

(7)
# BeZnCr2 | the Alexandria database | PBE | optimized geometry
# Polymorph energy (0 for the lowest one) = 0.68 kcal/mol of atoms
# Crystal system = monoclinic
data_BeZnCr2
_space_group_name_H-M_alt 'P 1 2/m 1'
_space_group_IT_number 10
_cell_length_a 2.4219
_cell_length_b 3.9259
_cell_length_c 4.8233
_cell_angle_alpha 90.00
_cell_angle_beta 98.30
_cell_angle_gamma 90.00
loop_
_space_group_symop_operation_xyz
'x,y,z'
'-x,-y,-z'
'-x,y,-z'
'x,-y,z'
loop_
_atom_site_label
_atom_site_fract_x
_atom_site_fract_y
_atom_site_fract_z
_atom_site_occupancy
Be1 0.0000 0.0000 0.0000 1
Zn1 0.0000 0.0000 0.5000 1
Cr1 0.4752 0.5000 0.2268 1

=====

(8)
# BeZnCr2 | the Alexandria database | PBE | optimized geometry
# Polymorph energy (0 for the lowest one) = 0.32 kcal/mol of atoms
# Crystal system = orthorhombic
data_BeZnCr2
_space_group_name_H-M_alt 'C m m 2'
_space_group_IT_number 35
_cell_length_a 2.9202
_cell_length_b 3.9057
_cell_length_c 8.0011
_cell_angle_alpha 90.00
_cell_angle_beta 90.00
_cell_angle_gamma 90.00
loop_
_space_group_symop_operation_xyz
'x,y,z'
'-x,-y,z'
'-x,y,z'
'x,-y,z'
'x+1/2,y+1/2,z'
'-x+1/2,-y+1/2,z'
'-x+1/2,y+1/2,z'
'x+1/2,-y+1/2,z'
loop_
_atom_site_label
_atom_site_fract_x
_atom_site_fract_y
_atom_site_fract_z
_atom_site_occupancy
Be1 0.0000 0.0000 0.0000 1
Zn1 0.0000 0.5000 0.2490 1
Cr1 0.0000 0.0000 0.5222 1
Cr2 0.0000 0.5000 0.7725 1

=====

(9)
# BeZn2Cr | the Alexandria database | PBE | optimized geometry
# Crystal system = tetragonal
data_BeZn2Cr
_space_group_name_H-M_alt 'P 4/m m m'
_space_group_IT_number 123
_space_group_name_Hall '-P 4 2'
_cell_length_a 3.5833
_cell_length_b 3.5833
_cell_length_c 3.7221
_cell_angle_alpha 90.00
_cell_angle_beta 90.00
_cell_angle_gamma 90.00
loop_
_atom_site_label
_atom_site_fract_x
_atom_site_fract_y
_atom_site_fract_z
_atom_site_occupancy
Be1 0.0000 0.0000 0.0000 1
Zn1 0.0000 0.5000 0.5000 1
Cr1 0.5000 0.5000 0.0000 1

=====

(10)
# BeZnCr2 | the Alexandria database | PBE | optimized geometry
# Polymorph energy (0 for the lowest one) = 1.81 kcal/mol of atoms
# Crystal system = tetragonal
data_BeZnCr2
_space_group_name_H-M_alt 'P 4/m m m'
_space_group_IT_number 123
_space_group_name_Hall '-P 4 2'
_cell_length_a 2.9949
_cell_length_b 2.9949
_cell_length_c 5.1418
_cell_angle_alpha 90.00
_cell_angle_beta 90.00
_cell_angle_gamma 90.00
loop_
_atom_site_label
_atom_site_fract_x
_atom_site_fract_y
_atom_site_fract_z
_atom_site_occupancy
Be1 0.0000 0.0000 0.0000 1
Zn1 0.0000 0.0000 0.5000 1
Cr1 0.5000 0.5000 0.1972 1

=====

(11)
# BeZn2Cr | the Alexandria database | PBE | optimized geometry
# Crystal system = orthorhombic
data_BeZn2Cr
_space_group_name_H-M_alt 'A m m 2'
_space_group_IT_number 38
_cell_length_a 3.8123
_cell_length_b 2.5583
_cell_length_c 10.0679
_cell_angle_alpha 90.00
_cell_angle_beta 90.00
_cell_angle_gamma 90.00
loop_
_space_group_symop_operation_xyz
'x,y,z'
'-x,-y,z'
'-x,y,z'
'x,-y,z'
'x,y+1/2,z+1/2'
'-x,-y+1/2,z+1/2'
'-x,y+1/2,z+1/2'
'x,-y+1/2,z+1/2'
loop_
_atom_site_label
_atom_site_fract_x
_atom_site_fract_y
_atom_site_fract_z
_atom_site_occupancy
Be1 0.0000 0.0000 0.0000 1
Zn1 0.0000 0.0000 0.2318 1
Zn2 0.5000 0.0000 0.8601 1
Cr1 0.5000 0.0000 0.5917 1

=====

(12)
# BeZnCr2 | the Alexandria database | PBE | optimized geometry
# Polymorph energy (0 for the lowest one) = 7.76 kcal/mol of atoms
# Crystal system = cubic
data_BeZnCr2
_space_group_name_H-M_alt 'F m -3 m'
_space_group_IT_number 225
_space_group_name_Hall '-F 4 2 3'
_cell_length_a 5.6779
_cell_length_b 5.6779
_cell_length_c 5.6779
_cell_angle_alpha 90.00
_cell_angle_beta 90.00
_cell_angle_gamma 90.00
loop_
_atom_site_label
_atom_site_fract_x
_atom_site_fract_y
_atom_site_fract_z
_atom_site_occupancy
Be1 0.0000 0.0000 0.0000 1
Zn1 0.0000 0.0000 0.5000 1
Cr1 0.2500 0.2500 0.2500 1

=====

(13)
# BeZn2Cr | the Alexandria database | PBE | optimized geometry
# Crystal system = monoclinic
data_BeZn2Cr
_space_group_name_H-M_alt 'C 1 2/m 1'
_space_group_IT_number 12
_cell_length_a 4.9874
_cell_length_b 8.3816
_cell_length_c 2.4564
_cell_angle_alpha 90.00
_cell_angle_beta 108.86
_cell_angle_gamma 90.00
loop_
_space_group_symop_operation_xyz
'x,y,z'
'-x,-y,-z'
'-x,y,-z'
'x,-y,z'
'x+1/2,y+1/2,z'
'-x+1/2,-y+1/2,-z'
'-x+1/2,y+1/2,-z'
'x+1/2,-y+1/2,z'
loop_
_atom_site_label
_atom_site_fract_x
_atom_site_fract_y
_atom_site_fract_z
_atom_site_occupancy
Be1 0.0000 0.0000 0.0000 1
Zn1 0.2500 0.2500 0.5000 1
Cr1 0.0000 0.5000 0.0000 1

=====

(14)
# Be2ZnCr | the Alexandria database | PBE | optimized geometry
# Crystal system = monoclinic
data_Be2ZnCr
_space_group_name_H-M_alt 'C 1 2/m 1'
_space_group_IT_number 12
_cell_length_a 4.9708
_cell_length_b 7.6094
_cell_length_c 2.3563
_cell_angle_alpha 90.00
_cell_angle_beta 107.80
_cell_angle_gamma 90.00
loop_
_space_group_symop_operation_xyz
'x,y,z'
'-x,-y,-z'
'-x,y,-z'
'x,-y,z'
'x+1/2,y+1/2,z'
'-x+1/2,-y+1/2,-z'
'-x+1/2,y+1/2,-z'
'x+1/2,-y+1/2,z'
loop_
_atom_site_label
_atom_site_fract_x
_atom_site_fract_y
_atom_site_fract_z
_atom_site_occupancy
Be1 0.2500 0.2500 0.0000 1
Zn1 0.0000 0.0000 0.5000 1
Cr1 0.0000 0.5000 0.5000 1

=====

(15)
# Be2ZnCr | the Alexandria database | PBE | optimized geometry
# Crystal system = orthorhombic
data_Be2ZnCr
_space_group_name_H-M_alt 'A m m 2'
_space_group_IT_number 38
_cell_length_a 3.6947
_cell_length_b 2.5009
_cell_length_c 9.0499
_cell_angle_alpha 90.00
_cell_angle_beta 90.00
_cell_angle_gamma 90.00
loop_
_space_group_symop_operation_xyz
'x,y,z'
'-x,-y,z'
'-x,y,z'
'x,-y,z'
'x,y+1/2,z+1/2'
'-x,-y+1/2,z+1/2'
'-x,y+1/2,z+1/2'
'x,-y+1/2,z+1/2'
loop_
_atom_site_label
_atom_site_fract_x
_atom_site_fract_y
_atom_site_fract_z
_atom_site_occupancy
Be1 0.0000 0.0000 0.0000 1
Be2 0.5000 0.0000 0.1339 1
Zn1 0.5000 0.0000 0.3936 1
Cr1 0.0000 0.0000 0.7318 1

=====

Total moment / Bohr magnetons per cell: 0.272 3.929 0.000 0.000 0.000 0.010 0.000 0.000 0.001 0.000 2.328 0.004 0.787 0.399 0.352
Total energy / eV per cell: -14.96 -34.78 -17.76 -86.98 -47.23 -162.86 -23.70 -47.53 -15.39 -23.51 -30.44 -89.90 -30.17 -35.49 -35.70